Record 1
Computed, not measured: an optimized crystal structure of Ba2AgCl2 at the GGA-PBE level of DFT.

Unit cell a=9.016 b=9.016 c=3.977 alpha=90.00 beta=90.00 gamma=90.00
Element x y z (fractional)
Cl 0.871 0.371 0.500
Ba 0.169 0.331 0.000
Cl 0.371 0.129 0.500
Cl 0.129 0.629 0.500
Ba 0.831 0.669 0.000
Cl 0.629 0.871 0.500
Ag 0.000 0.000 0.000
Ag 0.500 0.500 0.000
Ba 0.669 0.169 0.000
Ba 0.331 0.831 0.000

Output
The calculation puts the calculated total energy at -34.12 eV per cell. The density of states at the Fermi level comes out at 3.8 states/eV/f.u. The space group is No. 127. Its energy relative to the elements, uncorrected is -1.334 eV per atom.

Record 2
Computed, not measured: an optimized crystal structure of Cs4MgTl3Cl8 at the GGA-PBE level of DFT.

Unit cell a=9.513 b=9.483 c=9.544 alpha=120.18 beta=119.89 gamma=90.00
Each line ends with the local moment (μB).
Element x y z (fractional)
Cl 0.257 0.271 0.514  0.00
Tl 0.500 0.500 0.500  0.00
Cl 0.246 0.280 0.013  0.03
Tl 0.500 0.500 0.000  0.00
Cl 0.754 0.720 0.987  0.03
Cl 0.238 0.725 0.476  0.02
Cl 0.233 0.720 0.987  0.03
Cs 0.000 0.000 0.500  0.00
Tl 0.000 0.500 0.500  0.00
Mg 0.000 0.500 0.000  0.20
Cs 0.000 0.000 0.000  0.00
Cl 0.767 0.280 0.013  0.03
Cs 0.500 0.000 0.000  0.01
Cl 0.743 0.729 0.486  0.00
Cs 0.500 0.000 0.500  0.00
Cl 0.762 0.275 0.524  0.02

Output
The calculation puts the calculated total energy at -49.49 eV per cell. The space group is No. 12. Its energy relative to the elements, uncorrected is -1.413 eV per atom.

Record 3
Computed, not measured: an optimized crystal structure of Pu4PS2O at the GGA-PBE level of DFT.

Unit cell a=3.866 b=6.655 c=6.747 alpha=109.41 beta=90.00 gamma=90.00
Each line ends with the local moment (μB).
Element x y z (fractional)
O 0.500 0.500 0.000  -0.13
Pu 0.000 0.726 0.226  5.33
P 0.000 0.000 0.000  -0.15
Pu 0.500 0.736 0.762  5.19
S 0.500 0.000 0.500  -0.12
Pu 0.000 0.274 0.774  5.33
Pu 0.500 0.264 0.238  5.19
S 0.000 0.500 0.500  -0.14

Output
The calculation puts the calculated total energy at -89.87 eV per cell. The density of states at the Fermi level comes out at 29.4 states/eV/f.u. The space group is No. 10. Its energy relative to the elements, uncorrected is -1.740 eV per atom.

Record 4
Computed, not measured: an optimized crystal structure of CdTePb2 at the GGA-PBE level of DFT.

Unit cell a=6.227 b=6.227 c=6.227 alpha=140.49 beta=127.61 gamma=67.56
Element x y z (fractional)
Cd 0.250 0.750 0.500
Te 0.750 0.250 0.500
Pb 0.995 0.995 0.000
Pb 0.505 0.505 0.000

Output
The calculation puts the calculated total energy at -11.55 eV per cell. The density of states at the Fermi level comes out at 1.8 states/eV/f.u. The space group is No. 71. The energy above the most stable polymorph in this dataset is 47.4 meV per atom. Its energy relative to the elements, uncorrected is -0.020 eV per atom.

Record 5
Computed, not measured: an optimized crystal structure of TmTiSb3 at the GGA-PBE level of DFT.

Unit cell a=6.128 b=6.285 c=12.787 alpha=90.00 beta=90.00 gamma=90.00
Element x y z (fractional)
Ti 0.000 0.250 0.095
Sb 0.750 0.999 0.765
Sb 0.750 0.499 0.235
Sb 0.000 0.250 0.497
Sb 0.250 0.001 0.235
Sb 0.500 0.750 0.503
Tm 0.750 0.990 0.317
Sb 0.000 0.750 0.503
Ti 0.500 0.750 0.905
Ti 0.000 0.750 0.905
Sb 0.250 0.613 0.075
Sb 0.500 0.250 0.497
Tm 0.250 0.510 0.317
Tm 0.750 0.490 0.683
Tm 0.250 0.010 0.683
Sb 0.250 0.113 0.925
Sb 0.750 0.887 0.075
Ti 0.500 0.250 0.095
Sb 0.750 0.387 0.925
Sb 0.250 0.501 0.765

Output
The calculation puts the calculated total energy at -111.48 eV per cell. The density of states at the Fermi level comes out at 2.7 states/eV/f.u. The space group is No. 57. Its energy relative to the elements, uncorrected is -0.628 eV per atom.

Record 6
Computed, not measured: an optimized crystal structure of NaCa2BiPd at the GGA-PBE level of DFT.

Unit cell a=6.070 b=5.234 c=6.070 alpha=90.00 beta=90.00 gamma=90.00
Element x y z (fractional)
Bi 0.000 0.000 0.000
Na 0.500 0.500 0.500
Pd 0.000 0.500 0.000
Ca 0.000 0.000 0.500
Ca 0.500 0.000 0.000

Output
The calculation puts the calculated total energy at -14.87 eV per cell. The density of states at the Fermi level comes out at 0.6 states/eV/f.u. The space group is No. 123.

Record 7
Computed, not measured: an optimized crystal structure of Zr2SnW2 at the GGA-PBE level of DFT.

Unit cell a=7.742 b=7.742 c=3.426 alpha=90.00 beta=90.00 gamma=90.00
Element x y z (fractional)
W 0.315 0.185 0.500
Zr 0.875 0.625 0.000
W 0.185 0.685 0.500
Zr 0.375 0.875 0.000
Zr 0.125 0.375 0.000
W 0.685 0.815 0.500
Zr 0.625 0.125 0.000
Sn 0.500 0.500 0.000
Sn 0.000 0.000 0.000
W 0.815 0.315 0.500

Output
The calculation puts the calculated total energy at -87.05 eV per cell. The density of states at the Fermi level comes out at 4.6 states/eV/f.u. The space group is No. 127. The energy above the most stable polymorph in this dataset is 316.9 meV per atom.

Record 8
Computed, not measured: an optimized crystal structure of TiNi2Rh2 at the GGA-PBE level of DFT.

Unit cell a=6.278 b=6.278 c=3.439 alpha=90.00 beta=90.00 gamma=90.00
Element x y z (fractional)
Rh 0.836 0.336 0.500
Rh 0.164 0.664 0.500
Ni 0.367 0.867 0.000
Ni 0.633 0.133 0.000
Ti 0.500 0.500 0.000
Ni 0.867 0.633 0.000
Ni 0.133 0.367 0.000
Rh 0.336 0.164 0.500
Ti 0.000 0.000 0.000
Rh 0.664 0.836 0.500

Output
The calculation puts the calculated total energy at -70.17 eV per cell. The density of states at the Fermi level comes out at 4.7 states/eV/f.u. The space group is No. 127. The energy above the most stable polymorph in this dataset is 0.0 meV per atom.

Record 9
Computed, not measured: an optimized crystal structure of Al3Cu12Si at the GGA-PBE level of DFT.

Unit cell a=3.691 b=3.691 c=14.527 alpha=90.00 beta=90.00 gamma=90.00
Element x y z (fractional)
Cu 0.000 0.500 0.373
Al 0.000 0.000 0.247
Cu 0.500 0.000 0.121
Cu 0.000 0.500 0.627
Cu 0.000 0.500 0.879
Cu 0.500 0.000 0.627
Cu 0.000 0.500 0.121
Al 0.000 0.000 0.500
Cu 0.500 0.500 0.246
Cu 0.500 0.000 0.879
Cu 0.500 0.500 0.754
Cu 0.500 0.000 0.373
Si 0.000 0.000 0.000
Cu 0.500 0.500 0.000
Al 0.000 0.000 0.753
Cu 0.500 0.500 0.500

Output
The calculation puts the calculated total energy at -68.29 eV per cell. The density of states at the Fermi level comes out at 1.9 states/eV/f.u. The space group is No. 123. Its energy relative to the elements, uncorrected is -0.155 eV per atom.

Record 10
Computed, not measured: an optimized crystal structure of ErTh6C5 at the GGA-PBE level of DFT.

Unit cell a=6.818 b=6.818 c=12.978 alpha=90.00 beta=90.00 gamma=120.00
Element x y z (fractional)
C 0.333 0.667 0.500
C 0.345 0.345 0.750
C 0.000 0.345 0.250
C 0.667 0.333 0.000
Er 0.000 0.000 0.250
Th 0.389 0.000 0.882
C 0.667 0.333 0.500
Th 0.000 0.611 0.382
Th 0.611 0.000 0.118
Th 0.000 0.611 0.118
Th 0.000 0.389 0.618
Er 0.000 0.000 0.750
Th 0.611 0.611 0.618
Th 0.000 0.389 0.882
C 0.345 0.000 0.250
Th 0.389 0.000 0.618
C 0.655 0.000 0.750
Th 0.611 0.000 0.382
Th 0.389 0.389 0.118
Th 0.611 0.611 0.882
C 0.000 0.655 0.750
C 0.655 0.655 0.250
C 0.333 0.667 0.000
Th 0.389 0.389 0.382

Output
The calculation puts the calculated total energy at -189.27 eV per cell. The density of states at the Fermi level comes out at 7.5 states/eV/f.u. The space group is No. 193.